# 1
Tb3Pm2Er | Alexandria | PBE | relaxed; crystal system = monoclinic; polymorph energy (0 for the lowest one) = 86 meV/atom; Fermi-level density of states = 8.6 states/eV/f.u.; formation energy = 0.149 eV per atom; electronic total energy = -4.510 eV per atom; theoretical density = 7.58 Mg/m³; space group = C2/m (12); V = 34.1 Å³ per atom
1.0
9.870 -2.546 0.000
9.870 2.546 0.000
-0.236 0.000 8.146
Tb Pm Er
6 4 2
Direct
0.074 0.074 0.128
0.234 0.234 0.351
0.309 0.309 0.949
0.691 0.691 0.051
0.766 0.766 0.649
0.926 0.926 0.872
0.148 0.148 0.737
0.395 0.395 0.567
0.605 0.605 0.433
0.852 0.852 0.263
0.456 0.456 0.159
0.544 0.544 0.841

---

# 2
Tb2Pm5Er3 | Alexandria | PBE | relaxed; crystal system = monoclinic; Fermi-level density of states = 18.5 states/eV/f.u.; formation energy = 0.188 eV per atom; electronic total energy = -4.482 eV per atom; theoretical density = 7.66 Mg/m³; space group = C2/c (15); V = 33.5 Å³ per atom
1.0
5.352 -7.470 0.000
5.352 7.470 0.000
-5.349 0.000 8.374
Tb Pm Er
4 10 6
Direct
0.022 0.279 0.055
0.279 0.022 0.555
0.721 0.978 0.445
0.978 0.721 0.945
0.020 0.980 0.750
0.125 0.384 0.759
0.228 0.772 0.750
0.384 0.125 0.259
0.479 0.521 0.250
0.521 0.479 0.750
0.616 0.875 0.741
0.772 0.228 0.250
0.875 0.616 0.241
0.980 0.020 0.250
0.220 0.471 0.444
0.274 0.726 0.250
0.471 0.220 0.944
0.529 0.780 0.056
0.726 0.274 0.750
0.780 0.529 0.556

---

# 3
Tb3Pm2Er7 | Alexandria | PBE | relaxed; crystal system = monoclinic; polymorph energy (0 for the lowest one) = 0 meV/atom; Fermi-level density of states = 17.8 states/eV/f.u.; formation energy = 0.073 eV per atom; electronic total energy = -4.538 eV per atom; theoretical density = 8.42 Mg/m³; space group = P2/m (10); V = 31.8 Å³ per atom
1.0
6.334 0.000 0.000
0.000 3.523 0.000
-0.004 0.000 17.125
Tb Pm Er
3 2 7
Direct
0.000 0.000 0.000
0.499 0.500 0.341
0.501 0.500 0.659
0.008 0.000 0.675
0.992 0.000 0.325
0.177 0.500 0.837
0.256 0.000 0.499
0.327 0.000 0.165
0.500 0.500 0.000
0.673 0.000 0.835
0.744 0.000 0.501
0.823 0.500 0.163

---

# 4
TbPm6Er3 | Alexandria | PBE | relaxed; crystal system = orthorhombic; polymorph energy (0 for the lowest one) = 0 meV/atom; Fermi-level density of states = 15.9 states/eV/f.u.; formation energy = 0.127 eV per atom; electronic total energy = -4.555 eV per atom; theoretical density = 7.62 Mg/m³; space group = Cmc2_1 (36); V = 33.4 Å³ per atom
1.0
4.888 -10.639 0.000
4.888 10.639 0.000
0.000 0.000 6.413
Tb Pm Er
2 12 6
Direct
0.158 0.842 0.500
0.842 0.158 0.000
0.016 0.984 0.300
0.106 0.545 0.810
0.260 0.380 0.059
0.301 0.699 0.283
0.380 0.260 0.559
0.455 0.894 0.810
0.545 0.106 0.310
0.620 0.740 0.059
0.699 0.301 0.783
0.740 0.620 0.559
0.894 0.455 0.310
0.984 0.016 0.800
0.042 0.293 0.477
0.293 0.042 0.977
0.419 0.581 0.579
0.581 0.419 0.079
0.707 0.958 0.477
0.958 0.707 0.977

---

# 5
Tb4Pm5Er | Alexandria | PBE | relaxed; crystal system = monoclinic; polymorph energy (0 for the lowest one) = 111 meV/atom; Fermi-level density of states = 14.5 states/eV/f.u.; formation energy = 0.147 eV per atom; electronic total energy = -4.536 eV per atom; theoretical density = 7.46 Mg/m³; space group = C2/m (12); V = 34.0 Å³ per atom
1.0
9.102 -1.799 0.000
9.102 1.799 0.000
-1.106 0.000 10.392
Tb Pm Er
4 5 1
Direct
0.045 0.045 0.262
0.318 0.318 0.588
0.682 0.682 0.412
0.955 0.955 0.738
0.142 0.142 0.731
0.189 0.189 0.096
0.500 0.500 0.000
0.811 0.811 0.904
0.858 0.858 0.269
0.500 0.500 0.500

---

# 6
Tb2Pm5Er4 | Alexandria | PBE | relaxed; crystal system = monoclinic; polymorph energy (0 for the lowest one) = 0 meV/atom; Fermi-level density of states = 15.3 states/eV/f.u.; formation energy = 0.073 eV per atom; electronic total energy = -4.588 eV per atom; theoretical density = 7.89 Mg/m³; space group = C2/m (12); V = 32.8 Å³ per atom
1.0
8.803 -1.770 0.000
8.803 1.770 0.000
-0.812 0.000 11.565
Tb Pm Er
2 5 4
Direct
0.216 0.216 0.351
0.784 0.784 0.649
0.000 0.000 0.000
0.324 0.324 0.931
0.404 0.404 0.465
0.596 0.596 0.535
0.676 0.676 0.069
0.140 0.140 0.795
0.465 0.465 0.741
0.535 0.535 0.259
0.860 0.860 0.205

---

# 7
Tb3Pm8Er2 | Alexandria | PBE | relaxed; crystal system = monoclinic; polymorph energy (0 for the lowest one) = 194 meV/atom; Fermi-level density of states = 18.9 states/eV/f.u.; formation energy = 0.210 eV per atom; electronic total energy = -4.484 eV per atom; theoretical density = 7.30 Mg/m³; space group = C2/m (12); V = 34.5 Å³ per atom
1.0
10.126 -3.866 0.000
10.126 3.866 0.000
-0.001 0.000 5.725
Tb Pm Er
3 8 2
Direct
0.000 0.000 0.000
0.287 0.713 0.500
0.713 0.287 0.500
0.132 0.132 0.500
0.187 0.599 0.000
0.327 0.327 0.499
0.401 0.813 0.000
0.599 0.187 0.000
0.673 0.673 0.501
0.813 0.401 0.000
0.868 0.868 0.500
0.240 0.240 0.999
0.760 0.760 0.001

---

# 8
Tb4Pm3Er2 | Alexandria | PBE | relaxed; crystal system = monoclinic; polymorph energy (0 for the lowest one) = 2 meV/atom; Fermi-level density of states = 12.8 states/eV/f.u.; formation energy = 0.018 eV per atom; electronic total energy = -4.637 eV per atom; theoretical density = 8.01 Mg/m³; space group = C2/m (12); V = 32.4 Å³ per atom
1.0
7.593 -2.531 0.000
7.593 2.531 0.000
-2.536 0.000 7.581
Tb Pm Er
4 3 2
Direct
0.056 0.056 0.332
0.278 0.278 0.668
0.722 0.722 0.332
0.944 0.944 0.668
0.389 0.389 0.334
0.500 0.500 0.000
0.611 0.611 0.666
0.168 0.168 0.000
0.832 0.832 0.000

---

> Among the records above, which one has the highest formation energy?

Tb3Pm8Er2